Material: CuSnPd
Method: DFT, PBE-GGA
State: relaxed

Results
E: -4.588 eV per atom
offset from the most stable computed form: 98 meV/atom
energy relative to the elements: -0.16 eV per atom

Cell and atoms, written as CIF:
```
data_CuSnPd
_cell_length_a 3.034
_cell_length_b 4.382
_cell_length_c 4.382
_cell_angle_alpha 120.00
_cell_angle_beta 90.00
_cell_angle_gamma 90.00
_space_group_name_H-M_alt 'P 1'
_space_group_IT_number 1
loop_
_space_group_symop_operation_xyz
'x,y,z'
loop_
_atom_site_label
_atom_site_type_symbol
_atom_site_fract_x
_atom_site_fract_y
_atom_site_fract_z
Cu1 Cu 0.377 0.667 0.333
Pd1 Pd 0.998 0.000 0.000
Sn1 Sn 0.624 0.333 0.667
```